No. 1
BeReRh | PBE-GGA | relaxed

Cell lengths 4.2622, 4.2622, 5.2353 Å; angles 90.00, 90.00, 120.00 degrees
Last column: nearest neighbours and their distance in Å.
Space group P6_3/mmc (No. 194)
Asymmetric unit:
Be (0.0000, 0.0000, 0.0000)  2 Be 2.62, 6 Re 2.79, 6 Rh 2.79
Re (0.3333, 0.6667, 0.2500)  5 Rh 2.46-2.62
Rh (0.3333, 0.6667, 0.7500)  5 Re 2.46-2.62

## Properties
Distance to the lowest polymorph of the same formula, eV/f.u.: 2.00
E, eV per atom: -7.45

---

No. 2
YZr2Mo | PBE-GGA | relaxed

Cell lengths 7.0420, 7.0420, 7.0420 Å; angles 90.00, 90.00, 90.00 degrees
Last column: nearest neighbours and their distance in Å.
Space group Fm-3m (No. 225)
Asymmetric unit:
Y (0.0000, 0.0000, 0.0000)  8 Zr 3.05
Zr (0.2500, 0.2500, 0.2500)  4 Mo 3.05, 4 Y 3.05
Mo (0.0000, 0.0000, 0.5000)  8 Zr 3.05

## Properties
Distance to the lowest polymorph of the same formula, eV/f.u.: 0.67
E, eV per atom: -8.36